# Os3PdO, relaxed, DFT PBE-GGA
data_Os3PdO
_space_group_name_H-M_alt 'P 1'
_space_group_IT_number 1
_cell_length_a 4.808
_cell_length_b 4.808
_cell_length_c 4.808
_cell_angle_alpha 90.00
_cell_angle_beta 90.00
_cell_angle_gamma 90.00
loop_
_space_group_symop_operation_xyz
'x,y,z'
loop_
_atom_site_label
_atom_site_fract_x
_atom_site_fract_y
_atom_site_fract_z
_atom_site_occupancy
Os1 0.000 0.000 0.500 1
Os2 0.000 0.500 0.000 1
Os3 0.500 0.000 0.000 1
Pd1 0.000 0.000 0.000 1
O1 0.500 0.500 0.500 1
# - DFT total energy (eV/atom) = -5.495
# - theoretical density (Mg/m³) = 10.36
# - symmetry = Pm-3m
# - spin magnetization (μB per formula unit) = 8.96
# - raw formation energy (eV per formula unit) = 16.36
# - D(E_F) (states/eV/f.u.) = 5.255

# Os3PdO, relaxed, DFT PBE-GGA
data_Os3PdO
_space_group_name_H-M_alt 'P 1'
_space_group_IT_number 1
_cell_length_a 4.084
_cell_length_b 4.084
_cell_length_c 4.084
_cell_angle_alpha 90.00
_cell_angle_beta 90.00
_cell_angle_gamma 90.00
loop_
_space_group_symop_operation_xyz
'x,y,z'
loop_
_atom_site_label
_atom_site_fract_x
_atom_site_fract_y
_atom_site_fract_z
_atom_site_occupancy
Os1 0.000 0.000 0.500 1
Os2 0.000 0.500 0.000 1
Os3 0.500 0.000 0.000 1
Pd1 0.500 0.500 0.500 1
O1 0.000 0.000 0.000 1
# - DFT total energy (eV/atom) = -7.866
# - theoretical density (Mg/m³) = 16.90
# - symmetry = Pm-3m
# - spin magnetization (μB per formula unit) = 0.00
# - raw formation energy (eV per formula unit) = 4.51
# - D(E_F) (states/eV/f.u.) = 7.053

# OsPdO2, relaxed, DFT PBE-GGA
data_OsPdO2
_space_group_name_H-M_alt 'P 1'
_space_group_IT_number 1
_cell_length_a 3.942
_cell_length_b 3.942
_cell_length_c 3.942
_cell_angle_alpha 60.00
_cell_angle_beta 60.00
_cell_angle_gamma 60.00
loop_
_space_group_symop_operation_xyz
'x,y,z'
loop_
_atom_site_label
_atom_site_fract_x
_atom_site_fract_y
_atom_site_fract_z
_atom_site_occupancy
Os1 0.000 0.000 0.000 1
Pd1 0.500 0.500 0.500 1
O1 0.250 0.250 0.250 1
O2 0.750 0.750 0.750 1
# - DFT total energy (eV/atom) = -5.908
# - theoretical density (Mg/m³) = 12.60
# - symmetry = Fm-3m
# - spin magnetization (μB per formula unit) = 0.00
# - raw formation energy (eV per formula unit) = 2.71
# - D(E_F) (states/eV/f.u.) = 3.765